Entry 1:
A relaxed structure of FeSn4W2, computed with PBE-GGA.

## Properties
DFT formation energy = 0.973 eV per atom
Final energy = -6.224 eV/atom

Cell: 5.082 5.082 13.226 Å, 90.00 90.00 90.00°
Space group I4/mmm (No. 139)
Unique sites:
Fe  0.000  0.000  0.000 [2 per cell]
Sn  0.000  0.000  0.193 [4 per cell]
Sn  0.000  0.500  0.000 [4 per cell]
W  0.000  0.000  0.406 [4 per cell]

***

Entry 2:
A relaxed structure of Fe3SnW, computed with PBE-GGA.

## Properties
DFT formation energy = 1.361 eV per atom
Final energy = -7.108 eV/atom

Cell: 4.549 4.549 4.549 Å, 90.00 90.00 90.00°
Space group Pm-3m (No. 221)
Unique sites:
Fe  0.000  0.000  0.500 [3 per cell]
Sn  0.500  0.500  0.500 [1 per cell]
W  0.000  0.000  0.000 [1 per cell]

***

Entry 3:
A relaxed structure of FeSn2W, computed with PBE-GGA.

## Properties
DFT formation energy = 0.964 eV per atom
Final energy = -6.392 eV/atom

Cell: 7.335 7.335 5.831 Å, 90.00 90.00 90.00°
Space group I-42d (No. 122)
Unique sites:
Fe  0.000  0.000  0.000 [4 per cell]
Sn  0.228  0.250  0.125 [8 per cell]
W  0.000  0.000  0.500 [4 per cell]